# CeTmSc3, relaxed, DFT PBE
data_CeTmSc3
_space_group_name_H-M_alt 'C 1 2/m 1'
_space_group_IT_number 12
_space_group_name_Hall '-C 2y'
_cell_length_a 20.489
_cell_length_b 3.350
_cell_length_c 8.130
_cell_angle_alpha 90.00
_cell_angle_beta 107.37
_cell_angle_gamma 90.00
loop_
_atom_site_label
_atom_site_type_symbol
_atom_site_fract_x
_atom_site_fract_y
_atom_site_fract_z
Ce1 Ce 0.070 0.000 0.070
Tm1 Tm 0.182 0.500 0.873
Sc1 Sc 0.017 0.500 0.694
Sc2 Sc 0.118 0.000 0.508
Sc3 Sc 0.217 0.500 0.324
# Energy above the lowest structure with this stoichiometry in kJ/mol of formula units: 0.0


# LiAlRe2, relaxed, DFT PBE
data_LiAlRe2
_space_group_name_H-M_alt 'C m m m'
_space_group_IT_number 65
_space_group_name_Hall '-C 2 2'
_cell_length_a 5.136
_cell_length_b 8.506
_cell_length_c 2.630
_cell_angle_alpha 90.00
_cell_angle_beta 90.00
_cell_angle_gamma 90.00
loop_
_atom_site_label
_atom_site_type_symbol
_atom_site_fract_x
_atom_site_fract_y
_atom_site_fract_z
Li1 Li 0.000 0.000 0.000
Al1 Al 0.000 0.500 0.000
Re1 Re 0.250 0.250 0.500
# Raw total energy in eV per atom: -7.450


# Ti2Be9Tc, relaxed, DFT PBE
data_Ti2Be9Tc
_space_group_name_H-M_alt 'P 63/m m c'
_space_group_IT_number 194
_space_group_name_Hall '-P 6c 2c'
_cell_length_a 4.4007
_cell_length_b 4.4007
_cell_length_c 13.9580
_cell_angle_alpha 90.00
_cell_angle_beta 90.00
_cell_angle_gamma 120.00
loop_
_atom_site_label
_atom_site_type_symbol
_atom_site_fract_x
_atom_site_fract_y
_atom_site_fract_z
Ti1 Ti 0.3333 0.6667 0.0384
Be1 Be 0.0000 0.0000 0.0000
Be2 Be 0.0000 0.0000 0.2500
Be3 Be 0.1675 0.3350 0.6303
Be4 Be 0.3333 0.6667 0.7500
Tc1 Tc 0.3333 0.6667 0.2500
# Energy above the lowest structure with this stoichiometry in kJ/mol of formula units: 3.3


# CePrSm2Ho5, relaxed, DFT PBE
data_CePrSm2Ho5
_space_group_name_H-M_alt 'I 4/m c m'
_space_group_IT_number 140
_space_group_name_Hall '-I 4 2c'
_cell_length_a 8.706
_cell_length_b 8.706
_cell_length_c 15.382
_cell_angle_alpha 90.00
_cell_angle_beta 90.00
_cell_angle_gamma 90.00
loop_
_atom_site_label
_atom_site_type_symbol
_atom_site_fract_x
_atom_site_fract_y
_atom_site_fract_z
Ce1 Ce 0.000 0.500 0.250
Pr1 Pr 0.000 0.000 0.250
Sm1 Sm 0.119 0.381 0.000
Ho1 Ho 0.000 0.000 0.000
Ho2 Ho 0.203 0.297 0.363
# Raw total energy in eV per atom: -4.513


# ZnSb2Rh, relaxed, DFT PBE
data_ZnSb2Rh
_space_group_name_H-M_alt 'I -4 m 2'
_space_group_IT_number 119
_space_group_name_Hall 'I -4 -2'
_cell_length_a 4.191
_cell_length_b 4.191
_cell_length_c 9.093
_cell_angle_alpha 90.00
_cell_angle_beta 90.00
_cell_angle_gamma 90.00
loop_
_atom_site_label
_atom_site_type_symbol
_atom_site_fract_x
_atom_site_fract_y
_atom_site_fract_z
Zn1 Zn 0.000 0.000 0.000
Sb1 Sb 0.000 0.000 0.500
Sb2 Sb 0.000 0.500 0.250
Rh1 Rh 0.000 0.500 0.750
# ΔE_f (raw) in kcal/mol of atoms: 3.27


# Pm3Nd5Ho12, relaxed, DFT PBE
data_Pm3Nd5Ho12
_space_group_name_H-M_alt 'I a -3 d'
_space_group_IT_number 230
_space_group_name_Hall '-I 4bd 2c 3'
_cell_length_a 18.781
_cell_length_b 18.781
_cell_length_c 18.781
_cell_angle_alpha 90.00
_cell_angle_beta 90.00
_cell_angle_gamma 90.00
loop_
_atom_site_label
_atom_site_type_symbol
_atom_site_fract_x
_atom_site_fract_y
_atom_site_fract_z
Pm1 Pm 0.000 0.250 0.125
Nd1 Nd 0.000 0.000 0.000
Nd2 Nd 0.000 0.250 0.375
Ho1 Ho 0.005 0.081 0.647
# Raw total energy in eV per atom: -3.623